(1)
# CaSnS3

A relaxed CaSnS3 crystal (GGA-PBE, the Alexandria database).

Unit cell a=3.854 b=5.807 c=5.807 alpha=91.26 beta=90.00 gamma=90.00
Atoms (fractional coordinates):
S1 0.500 0.552 0.448
S2 0.500 0.329 0.085
Ca1 0.000 0.293 0.707
S3 0.500 0.915 0.671
Sn1 0.500 0.890 0.110

Calculated values
Energy relative to the elements, uncorrected: -3.1 eV per formula unit
VASP energy: -4.30 eV/atom
Crystal system: orthorhombic

---

(2)
# CaSnS3

A relaxed CaSnS3 crystal (GGA-PBE, the Alexandria database).

Unit cell a=8.531 b=8.829 c=11.724 alpha=69.23 beta=85.30 gamma=79.29
Atoms (fractional coordinates):
S1 0.285 0.439 0.757
S2 0.885 0.416 0.928
S3 0.115 0.584 0.072
S4 0.625 0.616 0.576
S5 0.910 0.296 0.569
S6 0.295 0.952 0.572
Sn1 0.047 0.023 0.678
Sn2 0.268 0.802 0.999
S7 0.891 0.813 0.735
S8 0.646 0.079 0.871
Sn3 0.410 0.679 0.707
Sn4 0.590 0.321 0.293
S9 0.871 0.937 0.140
S10 0.715 0.561 0.243
Ca1 0.201 0.267 0.016
Ca2 0.569 0.291 0.640
S11 0.375 0.384 0.424
Ca3 0.431 0.709 0.360
Ca4 0.039 0.462 0.331
S12 0.354 0.921 0.129
S13 0.109 0.187 0.265
Sn5 0.953 0.977 0.322
Sn6 0.732 0.198 0.001
S14 0.497 0.292 0.112
Ca5 0.961 0.538 0.669
S15 0.503 0.708 0.888
S16 0.705 0.048 0.428
S17 0.090 0.704 0.431
S18 0.129 0.063 0.860
Ca6 0.799 0.733 0.984

Calculated values
Energy relative to the elements, uncorrected: -5.1 eV per formula unit
VASP energy: -4.69 eV/atom
Crystal system: triclinic

---

(3)
# CaSnS3

A relaxed CaSnS3 crystal (GGA-PBE, the Alexandria database).

Unit cell a=3.839 b=8.302 c=13.809 alpha=90.00 beta=90.00 gamma=90.00
Atoms (fractional coordinates):
Sn1 0.250 0.822 0.556
Sn2 0.250 0.322 0.944
S1 0.250 0.700 0.721
Sn3 0.750 0.678 0.056
S2 0.750 0.143 0.009
Ca1 0.750 0.438 0.683
S3 0.750 0.519 0.892
S4 0.250 0.981 0.392
S5 0.750 0.300 0.279
S6 0.750 0.019 0.608
S7 0.750 0.643 0.491
S8 0.250 0.357 0.509
S9 0.250 0.857 0.991
S10 0.250 0.481 0.108
Ca2 0.250 0.562 0.317
Sn4 0.750 0.178 0.444
S11 0.250 0.200 0.779
Ca3 0.750 0.938 0.817
Ca4 0.250 0.062 0.183
S12 0.750 0.800 0.221

Calculated values
Energy relative to the elements, uncorrected: -5.1 eV per formula unit
VASP energy: -4.70 eV/atom
Crystal system: orthorhombic

---

(4)
# CaSnS3

A relaxed CaSnS3 crystal (GGA-PBE, the Alexandria database).

Unit cell a=7.676 b=10.708 c=7.188 alpha=72.49 beta=90.00 gamma=90.00
Atoms (fractional coordinates):
Sn1 0.849 0.254 0.039
S1 0.112 0.294 0.182
S2 0.725 0.037 0.100
S3 0.891 0.353 0.681
S4 0.109 0.647 0.319
Ca1 0.885 0.852 0.414
S5 0.775 0.037 0.600
S6 0.391 0.647 0.819
S7 0.888 0.706 0.818
Sn2 0.349 0.746 0.461
S8 0.612 0.706 0.318
S9 0.609 0.353 0.181
Sn3 0.151 0.746 0.961
Ca2 0.115 0.148 0.586
S10 0.275 0.963 0.900
Ca3 0.385 0.148 0.086
Sn4 0.651 0.254 0.539
S11 0.225 0.963 0.400
Ca4 0.615 0.852 0.914
S12 0.388 0.294 0.682

Calculated values
Energy relative to the elements, uncorrected: -5.1 eV per formula unit
VASP energy: -4.69 eV/atom
Crystal system: monoclinic